Material: K2BaBi2Pb
Method: DFT, PBE-GGA
State: relaxed

Cell lengths 5.2126, 9.3224, 10.3582 Å; angles 90.00, 90.00, 90.00 degrees
Fractional positions:
Ba  0.0000  0.4735  0.5641
Ba  0.0000  0.9735  0.4359
K  0.0000  0.8679  0.8208
K  0.5000  0.5426  0.9178
K  0.0000  0.3679  0.1792
K  0.5000  0.0426  0.0822
Bi  0.5000  0.2626  0.4055
Bi  0.0000  0.2618  0.8465
Bi  0.0000  0.7618  0.1535
Bi  0.5000  0.7626  0.5945
Pb  0.5000  0.6371  0.3074
Pb  0.5000  0.1371  0.6926

Output
- Energy of formation: -50 kJ/mol of atoms
- Density: 5.55 g/cm³

---

Material: K2Ba2Bi4Pt
Method: DFT, PBE-GGA
State: relaxed

Cell lengths 7.6676, 7.6676, 7.6676 Å; angles 92.31, 118.68, 118.68 degrees
Fractional positions:
Pt  0.0000  0.0000  0.0000
Ba  0.5000  0.7500  0.2500
Ba  0.5000  0.2500  0.7500
Bi  0.0000  0.7510  0.2490
Bi  0.5020  0.7510  0.7510
Bi  0.4980  0.2490  0.2490
Bi  0.0000  0.2490  0.7510
K  0.0000  0.2880  0.2880
K  0.0000  0.7120  0.7120

Output
- Energy of formation: -50 kJ/mol of atoms
- Density: 7.07 g/cm³

---

Material: KRb2BaBi
Method: DFT, PBE-GGA
State: relaxed

Cell lengths 7.3190, 7.3190, 6.9100 Å; angles 90.00, 90.00, 90.00 degrees
Fractional positions:
Rb  0.5000  0.0000  0.0000
Rb  0.0000  0.5000  0.0000
Ba  0.0000  0.0000  0.5000
K  0.5000  0.5000  0.5000
Bi  0.0000  0.0000  0.0000

Output
- Energy of formation: -21 kJ/mol of atoms
- Density: 2.50 g/cm³

---

Material: K2RbBaBi
Method: DFT, PBE-GGA
State: relaxed

Cell lengths 7.0369, 7.0369, 6.9165 Å; angles 90.00, 90.00, 90.00 degrees
Fractional positions:
Bi  0.0000  0.0000  0.0000
K  0.5000  0.0000  0.0000
K  0.0000  0.5000  0.0000
Rb  0.5000  0.5000  0.5000
Ba  0.0000  0.0000  0.5000

Output
- Energy of formation: -24 kJ/mol of atoms
- Density: 2.47 g/cm³

---

Material: KRbBa2Bi
Method: DFT, PBE-GGA
State: relaxed

Cell lengths 6.9340, 6.9340, 7.1492 Å; angles 90.00, 90.00, 90.00 degrees
Fractional positions:
Ba  0.0000  0.5000  0.0000
Ba  0.5000  0.0000  0.0000
Bi  0.0000  0.0000  0.0000
Rb  0.5000  0.5000  0.5000
K  0.0000  0.0000  0.5000

Output
- Energy of formation: -28 kJ/mol of atoms
- Density: 2.94 g/cm³

---

Material: K2BaBiS4
Method: DFT, PBE-GGA
State: relaxed

Cell lengths 8.8481, 8.8481, 9.1775 Å; angles 121.24, 121.24, 90.28 degrees
Fractional positions:
K  0.0000  0.0000  0.5000
K  0.5000  0.5000  0.0000
K  0.5000  0.0000  0.5000
K  0.5000  0.0000  0.0000
Bi  0.5000  0.5000  0.5000
Bi  0.0000  0.0000  0.0000
Ba  0.0000  0.5000  0.0000
Ba  0.0000  0.5000  0.5000
S  0.7273  0.2790  0.5032
S  0.7790  0.2273  0.0032
S  0.2499  0.2501  0.0381
S  0.7501  0.7499  0.5381
S  0.2727  0.7210  0.4968
S  0.7501  0.7499  0.9619
S  0.2499  0.2501  0.4619
S  0.2210  0.7727  0.9968

Output
- Uncorrected formation energy: -8.15 eV per formula unit
- Density: 3.77 g/cm³

---

Q: Which value of density does entry 3 give?
A: 2.50 g/cm³

---

Q: What is the formula in the second record?
A: K2Ba2Bi4Pt

---

Q: What is the density in the fourth record?
A: 2.47 g/cm³